Below is crystalline As3CCl at its relaxed geometry, with properties calculated at the PBE level.

Lattice parameters (Å, degrees): 4.8407 4.8407 4.8407 90.00 90.00 90.00
Last column: nearest neighbours and their distance in Å.
Space group Pm-3m (No. 221)
Unique sites:
As 0.0000 0.0000 0.5000 [3 per cell]  2 Cl 2.42
C 0.5000 0.5000 0.5000 [1 per cell]  12 As 3.42
Cl 0.0000 0.0000 0.0000 [1 per cell]  6 As 2.42

Calculated values
The crystal system is cubic. Its density of states at the Fermi level is 4.37 states/eV per cell. The calculation puts the uncorrected formation energy at 2.390 eV per atom.

=====

Below is crystalline AsCCl2 at its relaxed geometry, with properties calculated at the PBE level.

Lattice parameters (Å, degrees): 3.1175 3.1175 33.6321 90.00 90.00 120.00
Last column: nearest neighbours and their distance in Å.
Space group R-3m (No. 166, hexagonal axes)
Unique sites:
As 0.0000 0.0000 0.0000 [3 per cell]  6 As 3.12
C 0.0000 0.0000 0.5000 [3 per cell]  6 Cl 2.26
Cl 0.0000 0.0000 0.1260 [6 per cell]  3 C 2.26

Calculated values
The crystal system is trigonal. Its density of states at the Fermi level is 3.75 states/eV per cell. The calculation puts the uncorrected formation energy at 1.377 eV per atom.

=====

Below is crystalline AsC2Cl at its relaxed geometry, with properties calculated at the PBE level.

Lattice parameters (Å, degrees): 5.8748 5.8748 5.8748 90.00 90.00 90.00
Last column: nearest neighbours and their distance in Å.
Space group Fm-3m (No. 225)
Unique sites:
As 0.0000 0.0000 0.0000 [4 per cell]  8 C 2.54
C 0.2500 0.2500 0.2500 [8 per cell]  4 Cl 2.54, 4 As 2.54
Cl 0.0000 0.0000 0.5000 [4 per cell]  8 C 2.54

Calculated values
The crystal system is cubic. Its density of states at the Fermi level is 7.83 states/eV per cell. The calculation puts the uncorrected formation energy at 2.755 eV per atom.

=====

Below is crystalline As3CCl at its relaxed geometry, with properties calculated at the PBE level.

Lattice parameters (Å, degrees): 4.4908 4.4908 4.4908 90.00 90.00 90.00
Last column: nearest neighbours and their distance in Å.
Space group Pm-3m (No. 221)
Unique sites:
As 0.0000 0.0000 0.5000 [3 per cell]  2 C 2.25
C 0.0000 0.0000 0.0000 [1 per cell]  6 As 2.25
Cl 0.5000 0.5000 0.5000 [1 per cell]  12 As 3.18

Calculated values
The crystal system is cubic. Its density of states at the Fermi level is 4.85 states/eV per cell. The calculation puts the uncorrected formation energy at 1.161 eV per atom.

=====

Below is crystalline AsCCl3 at its relaxed geometry, with properties calculated at the PBE level.

Lattice parameters (Å, degrees): 4.9842 4.9842 4.9842 90.00 90.00 90.00
Last column: nearest neighbours and their distance in Å.
Space group Pm-3m (No. 221)
Unique sites:
As 0.0000 0.0000 0.0000 [1 per cell]  6 Cl 2.49
C 0.5000 0.5000 0.5000 [1 per cell]  12 Cl 3.52
Cl 0.0000 0.0000 0.5000 [3 per cell]  2 As 2.49

Calculated values
The crystal system is cubic. Its density of states at the Fermi level is 10.43 states/eV per cell. The calculation puts the uncorrected formation energy at 1.160 eV per atom.

=====

Below is crystalline AsCCl3 at its relaxed geometry, with properties calculated at the PBE level.

Lattice parameters (Å, degrees): 4.4501 4.4501 4.4501 90.00 90.00 90.00
Last column: nearest neighbours and their distance in Å.
Space group Pm-3m (No. 221)
Unique sites:
As 0.0000 0.0000 0.0000 [1 per cell]  12 Cl 3.15
C 0.5000 0.5000 0.5000 [1 per cell]  6 Cl 2.23
Cl 0.0000 0.5000 0.5000 [3 per cell]  2 C 2.23

Calculated values
The crystal system is cubic. Its density of states at the Fermi level is 2.64 states/eV per cell. The calculation puts the uncorrected formation energy at 1.192 eV per atom.

=====

Below is crystalline AsC3Cl at its relaxed geometry, with properties calculated at the PBE level.

Lattice parameters (Å, degrees): 3.8579 3.8579 3.8579 90.00 90.00 90.00
Last column: nearest neighbours and their distance in Å.
Space group Pm-3m (No. 221)
Unique sites:
As 0.0000 0.0000 0.0000 [1 per cell]  12 C 2.73
C 0.0000 0.5000 0.5000 [3 per cell]  2 Cl 1.93
Cl 0.5000 0.5000 0.5000 [1 per cell]  6 C 1.93

Calculated values
The crystal system is cubic. Its density of states at the Fermi level is 2.71 states/eV per cell. The calculation puts the uncorrected formation energy at 3.428 eV per atom.

=====

Below is crystalline CsAsCCl at its relaxed geometry, with properties calculated at the PBE level.

Lattice parameters (Å, degrees): 5.1921 3.2991 8.2925 90.00 107.75 90.00
Last column: nearest neighbours and their distance in Å.
Space group Pm (No. 6)
Unique sites:
Cs 0.0000 0.0000 0.0000 [1 per cell]  2 Cs 3.30, 2 C 3.33, 4 Cl 3.34
As 0.2571 0.0000 0.4885 [1 per cell]  2 C 1.91
C 0.1960 0.5000 0.3660 [1 per cell]  2 As 1.91
Cl 0.4198 0.5000 0.8356 [1 per cell]  2 As 3.20, 2 Cl 3.30, 4 Cs 3.34

Calculated values
The crystal system is monoclinic. Its density of states at the Fermi level is 1.97 states/eV per cell. The calculation puts the uncorrected formation energy at 0.183 eV per atom.

=====

Below is crystalline CsAsCCl at its relaxed geometry, with properties calculated at the PBE level.

Lattice parameters (Å, degrees): 4.0045 4.9028 7.0485 87.73 87.47 89.98
Last column: nearest neighbours and their distance in Å.
Space group P1 (No. 1)
Unique sites:
Cs 0.0000 0.0000 0.0000 [1 per cell]  4 Cl 3.42, 2 C 3.57-3.61
As 0.5785 0.5216 0.5680 [1 per cell]  1 C 1.76
C 0.0006 0.5272 0.6267 [1 per cell]  1 As 1.76
Cl 0.4848 0.4895 0.1846 [1 per cell]  1 As 2.76

Calculated values
The crystal system is triclinic. Its density of states at the Fermi level is 1.31 states/eV per cell. The calculation puts the uncorrected formation energy at 0.294 eV per atom.

=====

Below is crystalline CsAsCCl at its relaxed geometry, with properties calculated at the PBE level.

Lattice parameters (Å, degrees): 14.8358 3.3019 4.7572 90.00 99.83 90.00
Last column: nearest neighbours and their distance in Å.
Space group Cm (No. 8)
Unique sites:
Cs 0.0000 0.0000 0.0000 [2 per cell]  2 Cs 3.30, 2 C 3.32, 4 Cl 3.38-3.42
As 0.2885 0.5000 0.4106 [2 per cell]  2 C 1.92
C 0.3487 0.0000 0.5315 [2 per cell]  2 As 1.92
Cl 0.1217 0.5000 0.5710 [2 per cell]  1 As 2.71

Calculated values
The crystal system is monoclinic. Its density of states at the Fermi level is 2.11 states/eV per cell. The calculation puts the uncorrected formation energy at 0.177 eV per atom.

=====

Below is crystalline CsAsCCl at its relaxed geometry, with properties calculated at the PBE level.

Lattice parameters (Å, degrees): 12.2588 3.3655 5.8871 90.00 116.69 90.00
Last column: nearest neighbours and their distance in Å.
Space group Cm (No. 8)
Unique sites:
Cs 0.0000 0.0000 0.0000 [2 per cell]  2 Cs 3.37, 3 C 3.39-3.49, 3 Cl 3.57-3.59, 3 As 3.73-3.74
As 0.3394 0.0000 0.3679 [2 per cell]  2 C 2.00
C 0.2566 0.5000 0.3889 [2 per cell]  1 Cl 1.82, 2 As 2.00
Cl 0.1797 0.5000 0.5914 [2 per cell]  1 C 1.82

Calculated values
The crystal system is monoclinic. Its density of states at the Fermi level is 1.75 states/eV per cell. The calculation puts the uncorrected formation energy at 0.191 eV per atom.

=====

Below is crystalline CsAsCCl at its relaxed geometry, with properties calculated at the PBE level.

Lattice parameters (Å, degrees): 3.2922 4.6611 7.6826 89.30 89.89 90.00
Last column: nearest neighbours and their distance in Å.
Space group P1 (No. 1)
Unique sites:
Cs 0.0000 0.0000 0.0000 [1 per cell]  2 Cs 3.29, 4 Cl 3.34, 2 C 3.58
As 0.9961 0.4781 0.4282 [1 per cell]  2 C 1.92
C 0.4968 0.4648 0.2996 [1 per cell]  2 As 1.92
Cl 0.5009 0.5041 0.7748 [1 per cell]  2 As 3.12-3.14, 2 Cl 3.29, 4 Cs 3.34

Calculated values
The crystal system is triclinic. Its density of states at the Fermi level is 0.53 states/eV per cell. The calculation puts the uncorrected formation energy at 0.180 eV per atom.